Record 1
VASP calculation (PBE) on a relaxed NdOsPb2O6 crystal.

a = 5.9724 Å, b = 5.9724 Å, c = 5.9724 Å
α = 60.00°, β = 60.00°, γ = 60.00°
Site moments in Bohr magnetons follow the coordinates.
Element x y z (fractional)
Nd 0.5000 0.5000 0.5000  0.02
O 0.7705 0.2295 0.2295  0.06
O 0.7705 0.7705 0.2295  0.07
O 0.2295 0.7705 0.2295  0.07
O 0.2295 0.2295 0.7705  0.07
O 0.7705 0.2295 0.7705  0.07
Pb 0.7500 0.7500 0.7500  0.05
Os 0.0000 0.0000 0.0000  1.53
O 0.2295 0.7705 0.7705  0.06
Pb 0.2500 0.2500 0.2500  0.05

Computed properties:
- V (Å³/f.u.) = 151
- relative energy among the computed polymorphs (kJ/mol of atoms) = 6.6
- calculated total energy (eV/atom) = -6.842

=====

Record 2
VASP calculation (PBE) on a relaxed Ho3TaO7 crystal.

a = 6.4066 Å, b = 6.4066 Å, c = 7.4071 Å
α = 90.00°, β = 90.00°, γ = 70.89°
Element x y z (fractional)
Ho 0.0003 0.5357 0.0092
O 0.0566 0.6872 0.2951
O 0.9434 0.3128 0.7951
O 0.0831 0.6697 0.7255
Ho 0.5357 0.0003 0.9908
O 0.9169 0.3303 0.2255
O 0.6872 0.0566 0.7049
O 0.0705 0.0705 0.5000
O 0.3303 0.9169 0.7745
O 0.3128 0.9434 0.2049
O 0.3709 0.3709 0.0000
O 0.6697 0.0831 0.2745
Ho 0.4643 0.9997 0.4908
Ho 0.4700 0.5300 0.7500
Ta 0.0019 0.9981 0.2500
O 0.9295 0.9295 0.0000
O 0.3614 0.3614 0.5000
Ho 0.5300 0.4700 0.2500
Ta 0.9981 0.0019 0.7500
O 0.6386 0.6386 0.0000
O 0.6291 0.6291 0.5000
Ho 0.9997 0.4643 0.5092

Computed properties:
- V (Å³/f.u.) = 144
- calculated total energy (eV/atom) = -8.909

=====

Record 3
VASP calculation (PBE) on a relaxed NiI crystal.

a = 3.8508 Å, b = 3.8508 Å, c = 3.8508 Å
α = 60.00°, β = 60.00°, γ = 60.00°
Element x y z (fractional)
I 0.0000 0.0000 0.0000
Ni 0.5000 0.5000 0.5000

Computed properties:
- V (Å³/f.u.) = 40
- calculated total energy (eV/atom) = -3.281

=====

Record 4
VASP calculation (PBE) on a relaxed ZnMoAu2 crystal.

a = 4.5564 Å, b = 4.5564 Å, c = 4.5564 Å
α = 60.00°, β = 60.00°, γ = 60.00°
Site moments in Bohr magnetons follow the coordinates.
Element x y z (fractional)
Au 0.7500 0.7500 0.7500  0.00
Mo 0.2500 0.2500 0.2500  1.49
Zn 0.5000 0.5000 0.5000  0.02
Au 0.0000 0.0000 0.0000  0.07

Computed properties:
- V (Å³/f.u.) = 67
- ΔE_f (eV/atom) = 0.2920
- calculated total energy (eV/atom) = -4.369

=====

Record 5
VASP calculation (PBE) on a relaxed Ga2Tc2O5 crystal.

a = 7.9034 Å, b = 3.5691 Å, c = 3.5691 Å
α = 90.00°, β = 90.00°, γ = 90.00°
Site moments in Bohr magnetons follow the coordinates.
Element x y z (fractional)
Tc 0.5000 0.0000 0.0000  3.22
Tc 0.0000 0.0000 0.0000  0.11
O 0.5000 0.5000 0.5000  0.09
Ga 0.2512 0.5000 0.5000  -0.01
O 0.1557 0.5000 0.0000  0.03
O 0.1557 0.0000 0.5000  0.03
O 0.8443 0.5000 0.0000  0.03
Ga 0.7488 0.5000 0.5000  -0.01
O 0.8443 0.0000 0.5000  0.03

Computed properties:
- V (Å³/f.u.) = 101
- relative energy among the computed polymorphs (kJ/mol of atoms) = 6.4
- calculated total energy (eV/atom) = -6.493

=====

Record 6
VASP calculation (PBE) on a relaxed Ir2Pt2O5 crystal.

a = 8.2097 Å, b = 3.4238 Å, c = 3.4238 Å
α = 90.00°, β = 90.00°, γ = 90.00°
Site moments in Bohr magnetons follow the coordinates.
Element x y z (fractional)
Ir 0.5000 0.0000 0.0000  0.05
O 0.3277 0.0000 0.5000  0.02
Pt 0.8382 0.5000 0.5000  0.02
O 0.6723 0.0000 0.5000  0.02
O 0.5000 0.5000 0.5000  0.12
Ir 0.0000 0.0000 0.0000  0.04
O 0.6723 0.5000 0.0000  0.02
O 0.3277 0.5000 0.0000  0.02
Pt 0.1618 0.5000 0.5000  0.02

Computed properties:
- V (Å³/f.u.) = 96
- relative energy among the computed polymorphs (kJ/mol of atoms) = 26.3
- calculated total energy (eV/atom) = -5.425